VASP calculation (GGA+U) on crystalline UPaFeO6 at its relaxed geometry.

Cell and atoms, written as POSCAR:
```
UPaFeO6
1.0
5.8634 0.0000 0.0000
-2.9317 5.0779 0.0000
0.0000 0.0000 8.8186
U Pa Fe O
2 2 2 12
Direct
0.3333 0.6667 0.2500
0.6667 0.3333 0.7500
0.3333 0.6667 0.7500
0.6667 0.3333 0.2500
0.0000 0.0000 0.0000
0.0000 0.0000 0.5000
0.0062 0.3498 0.1336
0.0062 0.6563 0.3664
0.3437 0.3498 0.3664
0.3437 0.9938 0.1336
0.3498 0.0062 0.6336
0.3498 0.3437 0.8664
0.6502 0.6563 0.1336
0.6502 0.9938 0.3664
0.6563 0.0062 0.8664
0.6563 0.6502 0.6336
0.9938 0.3437 0.6336
0.9938 0.6502 0.8664
```

SG	P-31c, No. 163
total magnetic moment	9.1	μB/cell
uncorrected energy	-8.916	eV/atom